(1)
DFT (GGA-PBE) results for RbScF3 after structural relaxation.

For the energy relative to the elements, uncorrected, the calculation gives -1.569 eV/atom. The crystal system is cubic.

The space group is Pm-3m (No. 221) and the conventional cell measures 4.880, 4.880 and 4.880 Å, with angles of 90.00, 90.00 and 90.00 degrees. The asymmetric unit holds Rb at (0.000, 0.000, 0.000), Sc at (0.500, 0.500, 0.500) and F at (0.000, 0.000, 0.500).


(2)
DFT (GGA-PBE) results for Pm2TiZn3Pt4 after structural relaxation.

The formation enthalpy at 0 K is -0.782 eV per atom. The crystal system is tetragonal.

The space group is P-4m2 (No. 115) and the conventional cell measures 4.120, 4.120 and 11.265 Å, with angles of 90.00, 90.00 and 90.00 degrees. The asymmetric unit holds Pm at (0.000, 0.500, 0.238), Ti at (0.000, 0.000, 0.500), Zn at (0.000, 0.500, 0.866), Zn at (0.500, 0.500, 0.500), Pt at (0.000, 0.000, 0.000), Pt at (0.000, 0.500, 0.642) and Pt at (0.500, 0.500, 0.000).


(3)
DFT (GGA-PBE) results for ZrCdS2N after structural relaxation.

For the energy relative to the elements, uncorrected, the calculation gives 0.769 eV/atom. The crystal system is tetragonal.

The space group is P4/mmm (No. 123) and the conventional cell measures 4.864, 4.864 and 4.071 Å, with angles of 90.00, 90.00 and 90.00 degrees. The asymmetric unit holds Zr at (0.000, 0.000, 0.000), Cd at (0.500, 0.500, 0.500), S at (0.000, 0.500, 0.500) and N at (0.500, 0.500, 0.000).


(4)
DFT (GGA-PBE) results for GeCIO2 after structural relaxation.

For the energy relative to the elements, uncorrected, the calculation gives 0.572 eV/atom. The crystal system is tetragonal.

The space group is P4/mmm (No. 123) and the conventional cell measures 3.580, 3.580 and 6.951 Å, with angles of 90.00, 90.00 and 90.00 degrees. The asymmetric unit holds Ge at (0.000, 0.000, 0.000), C at (0.500, 0.500, 0.500), I at (0.000, 0.000, 0.500) and O at (0.000, 0.500, 0.000).


(5)
DFT (GGA-PBE) results for ErBiCl after structural relaxation.

For the energy relative to the elements, uncorrected, the calculation gives -1.121 eV/atom. The crystal system is monoclinic.

The space group is C2/m (No. 12) and the conventional cell measures 22.021, 4.408 and 10.276 Å, with angles of 90.00, 112.63 and 90.00 degrees. The asymmetric unit holds Er at (0.120, 0.000, 0.378), Er at (0.208, 0.000, 0.840), Bi at (0.177, 0.000, 0.101), Bi at (0.228, 0.500, 0.381), Cl at (0.047, 0.500, 0.282) and Cl at (0.097, 0.000, 0.612).


(6)
DFT (GGA-PBE) results for LaCuTc2 after structural relaxation.

The formation enthalpy at 0 K is 0.363 eV per atom. The crystal system is monoclinic.

The space group is P2/m (No. 10) and the conventional cell measures 4.055, 4.636 and 4.353 Å, with angles of 90.00, 102.19 and 90.00 degrees. The asymmetric unit holds La at (0.000, 0.000, 0.000), Cu at (0.500, 0.000, 0.500) and Tc at (0.289, 0.500, 0.655).


| no. | total magnetic moment (μB per formula unit) | E_tot (eV per atom) |
| --- | --- | --- |
| 1 | 1.0 | -4.1514 |
| 2 | 0.0 | -5.3198 |
| 3 | 0.0 | -4.4392 |
| 4 | 1.1 | -4.4892 |
| 5 | 0.0 | -4.5512 |
| 6 | 0.0 | -7.0761 |